Record 1
GGA-PBE Sm2TmIn, optimized geometry; offset from the most stable computed form = 0.000 eV/atom; space group = P4/mmm
1.0
4.864 0.000 0.000
0.000 4.864 0.000
0.000 0.000 4.927
Sm Tm In
2 1 1
direct
0.000 0.500 0.000
0.500 0.000 0.000
0.000 0.000 0.500
0.500 0.500 0.500

***

Record 2
GGA-PBE Sm4TmIn, optimized geometry; offset from the most stable computed form = 0.065 eV/atom; space group = Cmc2_1
1.0
2.822 -10.577 0.000
2.822 10.577 0.000
0.000 0.000 6.451
Sm Tm In
8 2 2
direct
0.043 0.957 0.500
0.187 0.813 0.342
0.248 0.752 0.812
0.437 0.563 0.679
0.563 0.437 0.179
0.752 0.248 0.312
0.813 0.187 0.842
0.957 0.043 0.000
0.363 0.637 0.191
0.637 0.363 0.691
0.104 0.896 0.943
0.896 0.104 0.443

***

Record 3
GGA-PBE SmTm4In, optimized geometry; offset from the most stable computed form = 0.000 eV/atom; space group = P4/mmm
1.0
3.541 0.000 0.000
0.000 3.541 0.000
0.000 0.000 14.084
Sm Tm In
1 4 1
direct
0.000 0.000 0.000
0.000 0.000 0.352
0.000 0.000 0.648
0.500 0.500 0.179
0.500 0.500 0.821
0.500 0.500 0.500

***

Record 4
GGA-PBE Sm2Tm7In2, optimized geometry; space group = Imm2
1.0
-1.807 9.813 4.771
1.807 -9.813 4.771
1.807 9.813 -4.771
Sm Tm In
2 7 2
direct
0.000 0.000 0.000
0.666 0.166 0.500
0.319 0.158 0.161
0.322 0.822 0.500
0.392 0.526 0.866
0.660 0.526 0.134
0.712 0.346 0.366
0.980 0.346 0.634
0.997 0.158 0.839
0.130 0.872 0.257
0.615 0.872 0.743

***

The evaluated ΔE_f for the records listed, in turn: -0.265, -0.015, -0.147, -0.034 eV/atom.